No. 1
Density functional theory data (PBE) for a relaxed Ba3Pd2O crystal.

Cell: 7.8290 7.8290 8.3473 Å, 105.46 105.46 48.47°
With the nearest neighbours (Å) after each atom.
Element x y z (fractional)
1 Ba 0.0439 0.9561 0.7500  1 O 2.62
2 Ba 0.3610 0.3618 0.4305  2 O 2.83-2.84
3 Ba 0.3618 0.3610 0.9305  2 O 2.83-2.84
4 Ba 0.6382 0.6390 0.0695  2 O 2.83-2.84
5 Ba 0.6390 0.6382 0.5695  2 O 2.83-2.84
6 Ba 0.9561 0.0439 0.2500  1 O 2.62
7 Pd 0.1719 0.1741 0.0863  6 Ba 3.16-3.31
8 Pd 0.1741 0.1719 0.5863  6 Ba 3.16-3.31
9 Pd 0.8259 0.8281 0.4137  6 Ba 3.16-3.31
10 Pd 0.8281 0.8259 0.9137  6 Ba 3.16-3.31
11 O 0.4514 0.5486 0.7500  5 Ba 2.62-2.84
12 O 0.5486 0.4514 0.2500  5 Ba 2.62-2.84

Results
- VASP energy: -4.55 eV/atom
- Crystal system: monoclinic
- Space group: No. 15
- E_form (uncorrected): -1.03 eV per atom

---

No. 2
Density functional theory data (PBE) for a relaxed ErMnFeB2 crystal.

Cell: 5.3885 5.3885 5.3885 Å, 142.01 142.01 54.82°
With the nearest neighbours (Å) after each atom.
Element x y z (fractional)
1 Er 0.0000 0.0000 0.0000  8 B 2.77, 4 Mn 2.97, 4 Fe 2.97
2 Mn 0.2500 0.7500 0.5000  4 B 2.11
3 Fe 0.7500 0.2500 0.5000  4 B 2.11
4 B 0.3719 0.3719 0.0000  2 Mn 2.11, 2 Fe 2.11
5 B 0.6281 0.6281 0.0000  2 Mn 2.11, 2 Fe 2.11

Results
- VASP energy: -7.53 eV/atom
- Crystal system: tetragonal
- Space group: No. 119
- Energy of formation from the pure elements: -0.4192 eV per atom